# ZnAgBr3

Crystalline ZnAgBr3 at its relaxed geometry (PBE, the Alexandria database).

Calculated values
Volume in Å³/atom: 31.39
Density of states at the Fermi level in states/eV per atom: 0.00
ΔE_f (raw) in eV per formula unit: -3.23
Offset from the most stable computed form in eV per atom: 0.000
Raw total energy in eV per atom: -2.475

Lattice parameters (Å, degrees): 7.3299 7.3299 11.1609 93.42 93.42 31.63
With the nearest neighbours (Å) after each atom.
Fractional coordinates of all 10 atoms:
Zn 0.0841 0.0841 0.2824  4 Br 2.43-2.47
Zn 0.9159 0.9159 0.7176  4 Br 2.43-2.47
Ag 0.3512 0.3512 0.1081  5 Br 2.76-2.92
Ag 0.6488 0.6488 0.8919  5 Br 2.76-2.92
Br 0.0883 0.0883 0.7342  1 Zn 2.43
Br 0.1507 0.1507 0.0830  1 Zn 2.47
Br 0.3573 0.3573 0.6067  2 Zn 2.47
Br 0.6427 0.6427 0.3933  2 Zn 2.47
Br 0.8493 0.8493 0.9170  1 Zn 2.47
Br 0.9117 0.9117 0.2658  1 Zn 2.43